# 1
SrTbCu10 | PBE | optimized geometry Values from VASP.

Cell and atoms, written as Quantum ESPRESSO input:
```
&SYSTEM
  ibrav = 0, nat = 12, ntyp = 3
/
ATOMIC_SPECIES
Sr 87.62 Sr.upf
Tb 158.93 Tb.upf
Cu 63.55 Cu.upf
ATOMIC_POSITIONS angstrom
Sr 0.000 2.606 4.456
Tb 0.000 0.000 0.000
Cu 0.000 0.000 2.898
Cu 0.000 2.606 7.488
Cu 0.000 2.606 1.424
Cu 0.000 0.000 6.013
Cu 2.017 0.000 4.456
Cu 2.017 2.606 0.000
Cu 2.017 1.269 2.139
Cu 2.017 3.944 6.772
Cu 2.017 3.944 2.139
Cu 2.017 1.269 6.772
CELL_PARAMETERS angstrom
4.035 0.000 0.000
0.000 5.212 0.000
0.000 0.000 8.911
```

## Properties
ρ   7815 kg/m3
Space group   No. 47
Formation enthalpy at 0 K   -1.552 eV/f.u.
DFT total energy   -4.069 eV per atom

=====

# 2
Zr3AlPb | PBE | optimized geometry Values from VASP.

Cell and atoms, written as Quantum ESPRESSO input:
```
&SYSTEM
  ibrav = 0, nat = 5, ntyp = 3
/
ATOMIC_SPECIES
Pb 207.20 Pb.upf
Al 26.98 Al.upf
Zr 91.22 Zr.upf
ATOMIC_POSITIONS angstrom
Pb 0.000 0.000 0.000
Al 2.668 2.668 2.668
Zr 0.000 2.668 0.000
Zr 0.000 0.000 2.668
Zr 2.668 0.000 0.000
CELL_PARAMETERS angstrom
5.336 0.000 0.000
0.000 5.336 0.000
0.000 0.000 5.336
```

## Properties
ρ   5550 kg/m3
Space group   No. 221
Formation enthalpy at 0 K   5.439 eV/f.u.
DFT total energy   -5.531 eV per atom

=====

# 3
InHgOs2 | PBE | optimized geometry Values from VASP.

Cell and atoms, written as Quantum ESPRESSO input:
```
&SYSTEM
  ibrav = 0, nat = 4, ntyp = 3
/
ATOMIC_SPECIES
Hg 200.59 Hg.upf
In 114.82 In.upf
Os 190.23 Os.upf
ATOMIC_POSITIONS angstrom
Hg 3.137 -0.583 1.275
In 1.639 1.884 1.268
Os 0.036 0.022 0.000
Os 4.030 2.448 0.000
CELL_PARAMETERS angstrom
5.565 0.003 0.006
2.568 4.937 -0.006
-3.357 -3.638 2.543
```

## Properties
ρ   16563 kg/m3
Space group   No. 71
Formation enthalpy at 0 K   3.465 eV/f.u.
DFT total energy   -5.509 eV per atom

=====

# 4
Mg11Ag9Rh4 | PBE | optimized geometry Values from VASP.

Cell and atoms, written as Quantum ESPRESSO input:
```
&SYSTEM
  ibrav = 0, nat = 24, ntyp = 3
/
ATOMIC_SPECIES
Mg 24.30 Mg.upf
Ag 107.87 Ag.upf
Rh 102.91 Rh.upf
ATOMIC_POSITIONS angstrom
Mg 0.000 6.800 8.643
Mg 0.000 4.668 -1.073
Mg 0.000 10.620 2.857
Mg 0.000 0.848 4.714
Mg 0.000 7.197 1.569
Mg 0.000 4.271 6.001
Mg 0.000 9.490 -1.904
Mg 0.000 1.978 9.474
Mg 0.000 0.000 0.000
Mg 0.000 8.046 5.312
Mg 0.000 3.422 2.259
Ag 1.555 7.161 -1.064
Ag 1.555 4.307 8.634
Ag 1.555 1.836 7.003
Ag 1.555 9.632 0.567
Ag 1.555 9.032 7.759
Ag 1.555 2.436 -0.189
Ag 1.555 10.685 5.256
Ag 1.555 0.783 2.314
Ag 1.555 5.734 3.785
Rh 1.555 6.330 6.586
Rh 1.555 5.138 0.984
Rh 1.555 8.544 3.233
Rh 1.555 2.924 4.338
CELL_PARAMETERS angstrom
3.109 0.000 0.000
0.000 11.257 -4.582
0.000 0.211 12.152
```

## Properties
ρ   6396 kg/m3
Space group   No. 65
Formation enthalpy at 0 K   -5.975 eV/f.u.
DFT total energy   -3.274 eV per atom

=====

# 5
SrCu2F7 | PBE | optimized geometry Values from VASP.

Cell and atoms, written as Quantum ESPRESSO input:
```
&SYSTEM
  ibrav = 0, nat = 10, ntyp = 3
/
ATOMIC_SPECIES
Sr 87.62 Sr.upf
Cu 63.55 Cu.upf
F 19.00 F.upf
ATOMIC_POSITIONS angstrom
Sr 0.000 0.000 0.000
Cu -1.871 -1.903 -3.241
Cu -3.885 0.765 -1.397
F -1.662 -2.981 -1.706
F -3.804 -0.143 0.256
F -1.910 1.413 -1.172
F -3.845 -2.551 -3.466
F -0.402 -0.584 -2.553
F -5.353 -0.554 -2.085
F -2.878 -0.569 -2.319
CELL_PARAMETERS angstrom
-0.289 1.986 -3.188
0.031 -5.223 -3.256
-5.497 2.099 1.806
```

## Properties
ρ   4528 kg/m3
Formation energy (no corrections)   -2.089 eV per atom
Space group   No. 65
DFT total energy   -4.386 eV per atom

=====

# 6
Li3AsH | PBE | optimized geometry Values from VASP.

Cell and atoms, written as Quantum ESPRESSO input:
```
&SYSTEM
  ibrav = 0, nat = 20, ntyp = 3
/
ATOMIC_SPECIES
Li 6.94 Li.upf
As 74.92 As.upf
H 1.01 H.upf
ATOMIC_POSITIONS angstrom
Li 1.484 1.570 0.877
Li 3.147 5.611 6.320
Li 3.799 2.021 2.721
Li 0.832 5.160 4.475
Li 0.870 4.296 1.893
Li 3.761 2.886 5.303
Li 3.185 6.526 0.944
Li 1.446 0.655 6.253
Li 3.602 0.007 4.787
Li 1.029 7.174 2.410
Li 1.287 3.533 6.769
Li 3.344 3.648 0.428
As 3.029 4.631 3.174
As 1.602 2.550 4.022
As 0.713 6.191 -0.337
As 3.918 0.990 7.533
H 1.496 3.344 0.572
H 3.135 3.837 6.625
H 3.811 0.246 3.026
H 0.820 6.935 4.170
CELL_PARAMETERS angstrom
4.631 0.000 0.000
0.000 7.231 -0.761
0.000 -0.050 7.957
```

## Properties
ρ   2413 kg/m3
Space group   No. 14
DFT total energy   -3.189 eV per atom

=====

# 7
Pr4Dy3Er4 | PBE | optimized geometry Values from VASP.

Cell and atoms, written as Quantum ESPRESSO input:
```
&SYSTEM
  ibrav = 0, nat = 11, ntyp = 3
/
ATOMIC_SPECIES
Pr 140.91 Pr.upf
Dy 162.50 Dy.upf
Er 167.26 Er.upf
ATOMIC_POSITIONS angstrom
Pr 7.813 -5.282 0.750
Pr 2.750 -3.163 -2.237
Pr 6.082 -4.095 -2.011
Pr 2.255 -2.196 -5.381
Dy 5.125 -0.619 -2.711
Dy 8.835 -2.172 -0.523
Dy 1.628 0.260 -2.576
Er 4.329 -4.375 0.764
Er -0.356 -2.613 -1.251
Er 6.709 -2.422 2.507
Er 3.306 -0.998 0.500
CELL_PARAMETERS angstrom
-1.395 -5.335 -1.420
3.904 3.179 -4.362
8.679 -3.633 5.120
```

## Properties
ρ   7775 kg/m3
Space group   No. 38
Formation enthalpy at 0 K   1.683 eV/f.u.
DFT total energy   -4.499 eV per atom

=====

# 8
HfMn3Ag | PBE | optimized geometry Values from VASP.

Cell and atoms, written as Quantum ESPRESSO input:
```
&SYSTEM
  ibrav = 0, nat = 5, ntyp = 3
/
ATOMIC_SPECIES
Mn 54.94 Mn.upf
Hf 178.49 Hf.upf
Ag 107.87 Ag.upf
ATOMIC_POSITIONS angstrom
Mn 0.000 2.380 0.000
Mn 0.000 0.000 2.380
Mn 2.380 0.000 0.000
Hf 0.000 0.000 0.000
Ag 2.380 2.380 2.380
CELL_PARAMETERS angstrom
4.760 0.000 0.000
0.000 4.760 0.000
0.000 0.000 4.760
```

## Properties
ρ   6947 kg/m3
Space group   No. 221
Formation enthalpy at 0 K   6.863 eV/f.u.
DFT total energy   -6.690 eV per atom

=====

# 9
GaFePb3 | PBE | optimized geometry Values from VASP.

Cell and atoms, written as Quantum ESPRESSO input:
```
&SYSTEM
  ibrav = 0, nat = 5, ntyp = 3
/
ATOMIC_SPECIES
Pb 207.20 Pb.upf
Fe 55.84 Fe.upf
Ga 69.72 Ga.upf
ATOMIC_POSITIONS angstrom
Pb 2.683 0.001 -0.490
Pb 0.436 -1.243 2.388
Pb -0.223 -2.427 -1.223
Fe 2.896 -3.669 0.675
Ga 0.000 0.000 0.000
CELL_PARAMETERS angstrom
-0.445 -4.854 -2.446
5.365 0.001 -0.980
0.873 -2.486 4.775
```

## Properties
ρ   7648 kg/m3
Space group   No. 221
Formation enthalpy at 0 K   4.777 eV/f.u.
DFT total energy   -3.568 eV per atom

=====

# 10
TlTe2 | PBE | optimized geometry Values from VASP.

Cell and atoms, written as Quantum ESPRESSO input:
```
&SYSTEM
  ibrav = 0, nat = 24, ntyp = 2
/
ATOMIC_SPECIES
Te 127.60 Te.upf
Tl 204.38 Tl.upf
ATOMIC_POSITIONS angstrom
Te -8.024 -5.034 1.068
Te -4.488 -2.331 -2.170
Te -3.536 -2.702 3.238
Te -12.996 -2.908 2.089
Te -7.240 -3.268 -1.280
Te -6.448 -3.576 3.221
Te -3.505 -1.327 0.526
Te -15.989 -3.034 2.607
Te -13.046 -0.785 -0.087
Te -12.254 -1.094 4.413
Te -18.752 -2.548 5.458
Te -19.544 -2.239 0.957
Te -22.487 -4.488 3.652
Te -10.003 -2.781 1.571
Te -12.946 -5.030 4.265
Te -13.738 -4.722 -0.235
Tl -6.810 -0.938 1.135
Tl -16.182 -1.950 -0.591
Tl -15.058 -2.387 5.795
Tl -10.883 0.803 1.971
Tl -19.182 -4.878 3.043
Tl -9.810 -3.866 4.769
Tl -10.934 -3.428 -1.617
Tl -15.109 -6.619 2.207
CELL_PARAMETERS angstrom
-9.944 4.252 2.043
-8.976 -4.663 -4.340
-7.071 -5.404 6.475
```

## Properties
ρ   6476 kg/m3
Formation energy (no corrections)   -0.088 eV per atom
Space group   No. 227
DFT total energy   -2.971 eV per atom

=====

# 11
LiTa2Ti | PBE | optimized geometry Values from VASP.

Cell and atoms, written as Quantum ESPRESSO input:
```
&SYSTEM
  ibrav = 0, nat = 8, ntyp = 3
/
ATOMIC_SPECIES
Ti 47.87 Ti.upf
Li 6.94 Li.upf
Ta 180.95 Ta.upf
ATOMIC_POSITIONS angstrom
Ti 0.000 0.000 0.000
Ti 0.954 -6.203 1.682
Li 1.272 -1.981 -1.382
Li 3.365 -5.071 2.277
Ta 0.770 -2.300 1.350
Ta 2.025 -4.327 -0.062
Ta 4.154 -7.401 3.606
Ta 1.688 -8.520 3.023
CELL_PARAMETERS angstrom
-1.140 -3.113 -1.977
3.683 -0.848 -0.787
1.775 -7.313 6.723
```

## Properties
ρ   9560 kg/m3
Space group   No. 122
Formation enthalpy at 0 K   2.686 eV/f.u.
DFT total energy   -7.707 eV per atom

=====

# 12
Dy6Ho12Tm | PBE | optimized geometry Values from VASP.

Cell and atoms, written as Quantum ESPRESSO input:
```
&SYSTEM
  ibrav = 0, nat = 19, ntyp = 3
/
ATOMIC_SPECIES
Dy 162.50 Dy.upf
Ho 164.93 Ho.upf
Tm 168.93 Tm.upf
ATOMIC_POSITIONS angstrom
Dy 4.795 1.040 4.301
Dy 4.324 4.886 -0.019
Dy 0.449 4.886 4.301
Dy 1.460 1.650 5.207
Dy 0.989 5.496 0.887
Dy 5.335 1.650 0.887
Ho 7.212 -0.555 2.594
Ho 2.409 0.103 2.161
Ho 2.128 2.404 -0.423
Ho 5.974 4.132 3.027
Ho 3.657 4.132 5.611
Ho 3.375 6.432 3.027
Ho 2.424 7.091 -1.700
Ho -0.960 3.268 6.888
Ho -1.428 7.091 2.594
Ho 3.360 -0.555 6.888
Ho 6.744 3.268 -1.700
Ho -0.190 2.404 2.161
Tm 0.000 0.000 0.000
CELL_PARAMETERS angstrom
8.951 -1.107 -1.961
-2.187 8.750 -1.961
-0.980 -1.107 9.110
```

## Properties
ρ   7999 kg/m3
Space group   No. 166
Formation enthalpy at 0 K   8.694 eV/f.u.
DFT total energy   -4.122 eV per atom

=====

# 13
La2Co2Ge2N | PBE | optimized geometry Values from VASP.

Cell and atoms, written as Quantum ESPRESSO input:
```
&SYSTEM
  ibrav = 0, nat = 7, ntyp = 4
/
ATOMIC_SPECIES
La 138.91 La.upf
Co 58.93 Co.upf
Ge 72.64 Ge.upf
N 14.01 N.upf
ATOMIC_POSITIONS angstrom
La 3.981 7.519 6.563
La 1.993 1.161 1.302
Co 3.982 4.219 5.039
Co 1.991 4.461 2.825
Ge 3.984 3.146 2.907
Ge 1.990 5.534 4.958
N 0.000 0.000 0.000
CELL_PARAMETERS angstrom
3.984 0.000 0.000
1.991 5.642 1.431
-0.002 3.039 6.433
```

## Properties
ρ   7240 kg/m3
Formation energy (no corrections)   -0.753 eV per atom
Space group   No. 12
DFT total energy   -6.700 eV per atom

=====

# 14
Ce3Th | PBE | optimized geometry Values from VASP.

Cell and atoms, written as Quantum ESPRESSO input:
```
&SYSTEM
  ibrav = 0, nat = 4, ntyp = 2
/
ATOMIC_SPECIES
Ce 140.12 Ce.upf
Th 232.04 Th.upf
ATOMIC_POSITIONS angstrom
Ce 0.000 0.000 0.000
Ce 8.171 4.718 3.336
Ce 2.724 1.573 1.112
Th 5.447 3.145 2.224
CELL_PARAMETERS angstrom
5.447 0.000 0.000
2.724 4.718 0.000
2.724 1.573 4.448
```

## Properties
ρ   9478 kg/m3
Space group   No. 225
Formation enthalpy at 0 K   0.902 eV/f.u.
DFT total energy   -6.080 eV per atom

=====

# 15
CrAs2Ir | PBE | optimized geometry Values from VASP.

Cell and atoms, written as Quantum ESPRESSO input:
```
&SYSTEM
  ibrav = 0, nat = 4, ntyp = 3
/
ATOMIC_SPECIES
As 74.92 As.upf
Cr 52.00 Cr.upf
Ir 192.22 Ir.upf
ATOMIC_POSITIONS angstrom
As 0.000 0.000 4.903
As 1.748 1.748 1.635
Cr 0.000 0.000 2.319
Ir 1.748 1.748 4.174
CELL_PARAMETERS angstrom
3.495 0.000 0.000
0.000 3.496 0.000
0.000 0.000 5.213
```

## Properties
ρ   10272 kg/m3
Space group   No. 99
Formation enthalpy at 0 K   -0.165 eV/f.u.
DFT total energy   -6.987 eV per atom

=====

# 16
AcZnGa | PBE | optimized geometry Values from VASP.

Cell and atoms, written as Quantum ESPRESSO input:
```
&SYSTEM
  ibrav = 0, nat = 3, ntyp = 3
/
ATOMIC_SPECIES
Ac 227.00 Ac.upf
Zn 65.41 Zn.upf
Ga 69.72 Ga.upf
ATOMIC_POSITIONS angstrom
Ac 0.013 0.004 -0.002
Zn 2.619 0.489 2.116
Ga 3.338 1.013 -0.591
CELL_PARAMETERS angstrom
-0.199 2.277 2.781
1.176 -2.590 2.205
4.993 1.820 -3.463
```

## Properties
ρ   7989 kg/m3
Space group   No. 107
Formation enthalpy at 0 K   -0.594 eV/f.u.
DFT total energy   -3.001 eV per atom

=====

# 17
BeSbAu | PBE | optimized geometry Values from VASP.

Cell and atoms, written as Quantum ESPRESSO input:
```
&SYSTEM
  ibrav = 0, nat = 6, ntyp = 3
/
ATOMIC_SPECIES
Be 9.01 Be.upf
Au 196.97 Au.upf
Sb 121.76 Sb.upf
ATOMIC_POSITIONS angstrom
Be 2.012 2.396 0.175
Be 4.310 -0.695 3.250
Au 0.443 1.614 3.159
Au 2.985 0.764 1.652
Sb 6.620 -1.660 3.711
Sb 8.623 -0.685 1.734
CELL_PARAMETERS angstrom
8.664 0.063 0.002
-1.692 3.394 0.000
0.527 -1.852 3.922
```

## Properties
ρ   9404 kg/m3
Formation energy (no corrections)   0.035 eV per atom
Space group   No. 1
DFT total energy   -3.673 eV per atom

=====

# 18
BePbBr2 | PBE | optimized geometry Values from VASP.

Cell and atoms, written as Quantum ESPRESSO input:
```
&SYSTEM
  ibrav = 0, nat = 4, ntyp = 3
/
ATOMIC_SPECIES
Pb 207.20 Pb.upf
Be 9.01 Be.upf
Br 79.90 Br.upf
ATOMIC_POSITIONS angstrom
Pb 3.774 3.774 3.774
Be 0.000 0.000 0.000
Br 1.887 1.887 1.887
Br 5.662 5.662 5.662
CELL_PARAMETERS angstrom
0.000 3.774 3.774
3.774 0.000 3.774
3.774 3.774 0.000
```

## Properties
ρ   5806 kg/m3
Formation energy (no corrections)   0.238 eV per atom
Space group   No. 225
DFT total energy   -2.457 eV per atom